(one)
13
Lattice="2.361 1.363 8.493 -2.361 1.363 8.493 0.000 -2.726 8.493" Properties=species:S:1:pos:R:3 comment="PBE Co8W5, relaxed" space_group="No. 166" m_tot_mub_per_atom=0.54 pbc="T T T"
Co 0.000 0.000 1.165
Co -1.209 -0.698 10.693
Co 0.000 -1.396 14.785
Co -1.209 0.698 14.785
Co 1.209 -0.698 10.693
Co 0.000 1.396 10.693
Co 1.209 0.698 14.785
Co 0.000 0.000 24.313
W 0.000 0.000 3.722
W 0.000 0.000 8.561
W 0.000 0.000 12.739
W 0.000 0.000 16.917
W 0.000 0.000 21.756


(two)
13
Lattice="2.367 1.366 8.452 -2.367 1.366 8.452 0.000 -2.733 8.452" Properties=species:S:1:pos:R:3 comment="PBE Co8W5, relaxed" space_group="No. 166" m_tot_mub_per_atom=0.08 pbc="T T T"
Co -1.214 -0.701 10.721
Co 0.000 0.000 3.877
Co 0.000 -1.401 14.634
Co -1.214 0.701 14.634
Co 1.214 -0.701 10.721
Co 0.000 1.401 10.721
Co 0.000 0.000 21.478
Co 1.214 0.701 14.634
W 0.000 0.000 1.329
W 0.000 0.000 8.532
W 0.000 0.000 12.677
W 0.000 0.000 16.823
W 0.000 0.000 24.026


The calculated energies rank the structures as follows, beginning with the most stable: (two), (one).